Entry 1:
{"formula": "ReIBr2", "functional": "GGA-PBE", "state": "relaxed", "e_form_raw_mev_per_atom": 712, "sg": "No. 122", "n_ef_per_ev_fu": 3.09, "relative_energy_ev_per_atom": 0.262, "lattice": [[-3.7302, 3.7302, 4.6899], [3.7302, -3.7302, 4.6899], [3.7302, 3.7302, -4.6899]], "species": ["Re", "Re", "I", "I", "Br", "Br", "Br", "Br"], "fractional_positions": [[0.0000, 0.0000, 0.0000], [0.7500, 0.2500, 0.5000], [0.2500, 0.7500, 0.5000], [0.5000, 0.5000, 0.0000], [0.0051, 0.1250, 0.3801], [0.3750, 0.9949, 0.1199], [0.7449, 0.6250, 0.6199], [0.8750, 0.2551, 0.8801]]}

Entry 2:
{"formula": "Ga2HgMoH", "functional": "GGA-PBE", "state": "relaxed", "sg": "No. 123", "total_energy_ev_per_atom": -3.752, "n_ef_per_ev_fu": 3.86, "lattice": [[4.4866, 0.0000, 0.0000], [0.0000, 4.4866, 0.0000], [0.0000, 0.0000, 3.6112]], "species": ["Ga", "Ga", "Hg", "Mo", "H"], "fractional_positions": [[0.0000, 0.5000, 0.0000], [0.5000, 0.0000, 0.0000], [0.0000, 0.0000, 0.5000], [0.5000, 0.5000, 0.5000], [0.5000, 0.5000, 0.0000]]}

Entry 3:
{"formula": "Li2CoCl", "functional": "GGA-PBE", "state": "relaxed", "e_form_raw_mev_per_atom": -89, "sg": "No. 122", "n_ef_per_ev_fu": 3.50, "relative_energy_ev_per_atom": 0.266, "lattice": [[-3.3283, 3.3283, 3.4456], [3.3283, -3.3283, 3.4456], [3.3283, 3.3283, -3.4456]], "species": ["Li", "Li", "Li", "Li", "Co", "Co", "Cl", "Cl"], "fractional_positions": [[0.0835, 0.1250, 0.4585], [0.3750, 0.9165, 0.0415], [0.6665, 0.6250, 0.5415], [0.8750, 0.3335, 0.9585], [0.2500, 0.7500, 0.5000], [0.5000, 0.5000, 0.0000], [0.0000, 0.0000, 0.0000], [0.7500, 0.2500, 0.5000]]}

Entry 4:
{"formula": "PmSmAg", "functional": "GGA-PBE", "state": "relaxed", "delta_e_f_ev_per_atom": -0.083, "sg": "No. 129", "n_ef_per_ev_fu": 4.52, "relative_energy_ev_per_atom": 0.079, "lattice": [[4.7513, 0.0000, 0.0000], [0.0000, 4.7513, 0.0000], [0.0000, 0.0000, 7.8521]], "species": ["Pm", "Pm", "Sm", "Sm", "Ag", "Ag"], "fractional_positions": [[0.2500, 0.2500, 0.1315], [0.7500, 0.7500, 0.8685], [0.2500, 0.7500, 0.5000], [0.7500, 0.2500, 0.5000], [0.2500, 0.2500, 0.7581], [0.7500, 0.7500, 0.2419]]}

Entry 5:
{"formula": "LiTe2Cl", "functional": "GGA-PBE", "state": "relaxed", "e_form_raw_mev_per_atom": -367, "sg": "No. 123", "n_ef_per_ev_fu": 2.50, "relative_energy_ev_per_atom": 0.351, "lattice": [[3.8224, 0.0000, 0.0000], [0.0000, 3.8224, 0.0000], [0.0000, 0.0000, 7.0976]], "species": ["Li", "Te", "Te", "Cl"], "fractional_positions": [[0.0000, 0.0000, 0.0000], [0.5000, 0.5000, 0.1897], [0.5000, 0.5000, 0.8103], [0.0000, 0.0000, 0.5000]]}

Entry 6:
{"formula": "Ca3IrCl", "functional": "GGA-PBE", "state": "relaxed", "e_form_raw_mev_per_atom": -533, "sg": "No. 221", "n_ef_per_ev_fu": 4.25, "relative_energy_ev_per_atom": 0.000, "lattice": [[5.5161, 0.0000, 0.0000], [0.0000, 5.5161, 0.0000], [0.0000, 0.0000, 5.5161]], "species": ["Ca", "Ca", "Ca", "Ir", "Cl"], "fractional_positions": [[0.0000, 0.0000, 0.5000], [0.0000, 0.5000, 0.0000], [0.5000, 0.0000, 0.0000], [0.0000, 0.0000, 0.0000], [0.5000, 0.5000, 0.5000]]}